The following is a GGA-PBE calculation of CaCeTlIr after structural relaxation, from Alexandria via LeMat-Bulk. Values from VASP.

As for the formation enthalpy at 0 K: -28 kJ per mole of atoms. For the excess energy over the best structure of this formula in the dataset, the calculation gives 0.180 eV/atom. The density of states at the Fermi level is 1.530 states/eV per atom.

Cell and atoms, written as Quantum ESPRESSO input:
```
&SYSTEM
  ibrav = 0, nat = 4, ntyp = 4
/
ATOMIC_SPECIES
Tl 204.38 Tl.upf
Ce 140.12 Ce.upf
Ca 40.08 Ca.upf
Ir 192.22 Ir.upf
CELL_PARAMETERS angstrom
-2.876 3.949 -1.662
-3.524 -0.750 -3.694
-5.026 0.196 1.152
ATOMIC_POSITIONS angstrom
Tl -8.570 2.546 -3.153
Ce -5.713 1.697 -2.102
Ca 0.000 0.000 0.000
Ir -2.857 0.849 -1.051
```

=====

The following is a GGA-PBE calculation of YZr2TiH after structural relaxation, from Alexandria via LeMat-Bulk. Values from VASP.

For the excess energy over the best structure of this formula in the dataset, the calculation gives 0.005 eV/atom. The density of states at the Fermi level is 1.612 states/eV per atom.

Cell and atoms, written as Quantum ESPRESSO input:
```
&SYSTEM
  ibrav = 0, nat = 5, ntyp = 4
/
ATOMIC_SPECIES
Zr 91.22 Zr.upf
H 1.01 H.upf
Ti 47.87 Ti.upf
Y 88.91 Y.upf
CELL_PARAMETERS angstrom
4.573 0.000 0.000
0.000 4.573 0.000
0.000 0.000 4.510
ATOMIC_POSITIONS angstrom
Zr 2.287 0.000 0.000
Zr 0.000 2.287 0.000
H 0.000 0.000 0.000
Ti 0.000 0.000 2.255
Y 2.287 2.287 2.255
```

=====

The following is a GGA-PBE calculation of BaLiCa2Hg4 after structural relaxation, from Alexandria via LeMat-Bulk. Values from VASP.

As for the formation enthalpy at 0 K: -43 kJ per mole of atoms. The density of states at the Fermi level is 0.653 states/eV per atom.

Cell and atoms, written as Quantum ESPRESSO input:
```
&SYSTEM
  ibrav = 0, nat = 8, ntyp = 4
/
ATOMIC_SPECIES
Hg 200.59 Hg.upf
Ca 40.08 Ca.upf
Ba 137.33 Ba.upf
Li 6.94 Li.upf
CELL_PARAMETERS angstrom
5.329 0.000 0.000
2.664 4.615 0.000
2.664 1.538 9.485
ATOMIC_POSITIONS angstrom
Hg 2.664 1.538 5.939
Hg 7.993 4.615 3.546
Ca 2.664 1.538 2.800
Ba 0.000 0.000 0.000
Hg 5.329 3.077 1.837
Li 5.329 3.077 4.743
Ca 7.993 4.615 6.685
Hg 5.329 3.077 7.649
```

=====

The following is a GGA-PBE calculation of Cs2TmTe2S6 after structural relaxation, from Alexandria via LeMat-Bulk. Values from VASP.

The calculation puts the total energy at -45.3 eV/cell. The density of states at the Fermi level is 0.239 states/eV per atom.

Cell and atoms, written as Quantum ESPRESSO input:
```
&SYSTEM
  ibrav = 0, nat = 11, ntyp = 4
/
ATOMIC_SPECIES
S 32.06 S.upf
Te 127.60 Te.upf
Cs 132.91 Cs.upf
Tm 168.93 Tm.upf
CELL_PARAMETERS angstrom
7.546 0.000 0.000
-3.773 5.651 0.083
0.000 -3.066 8.628
ATOMIC_POSITIONS angstrom
S 0.000 1.389 4.291
S 1.659 4.507 2.270
S 5.432 -1.922 6.442
Te 0.000 0.203 2.275
S 3.773 1.196 4.421
Cs 3.773 1.870 1.055
S 2.114 -1.922 6.442
Te 3.773 2.382 6.437
S -1.659 4.507 2.270
Cs 0.000 0.716 7.657
Tm 3.773 -1.533 4.314
```

=====

The following is a GGA-PBE calculation of Y3Sn2H2 after structural relaxation, from Alexandria via LeMat-Bulk. Values from VASP.

The calculation puts the total energy at -76.4 eV/cell. The density of states at the Fermi level is 0.201 states/eV per atom.

Cell and atoms, written as Quantum ESPRESSO input:
```
&SYSTEM
  ibrav = 0, nat = 14, ntyp = 3
/
ATOMIC_SPECIES
Y 88.91 Y.upf
H 1.01 H.upf
Sn 118.71 Sn.upf
CELL_PARAMETERS angstrom
-1.912 4.060 5.004
-0.099 -6.347 5.111
4.304 2.850 3.623
ATOMIC_POSITIONS angstrom
Y 1.495 4.116 6.341
H 0.677 -1.227 6.531
H 2.598 1.425 3.365
Sn -0.256 1.675 5.066
H -0.305 -0.862 10.374
Sn 2.550 -1.112 8.672
Sn 1.598 1.169 10.972
Sn 0.696 -0.606 2.767
Y 2.419 0.086 5.450
H 1.616 1.790 7.208
Y 0.000 0.000 0.000
Y 0.799 -3.554 7.397
Y -1.005 -1.144 5.058
Y -0.126 0.477 8.288
```

=====

The following is a GGA-PBE calculation of Li2BeReOs after structural relaxation, from Alexandria via LeMat-Bulk. Values from VASP.

As for the formation enthalpy at 0 K: 87 kJ per mole of atoms. The density of states at the Fermi level is 0.789 states/eV per atom.

Cell and atoms, written as Quantum ESPRESSO input:
```
&SYSTEM
  ibrav = 0, nat = 5, ntyp = 4
/
ATOMIC_SPECIES
Os 190.23 Os.upf
Re 186.21 Re.upf
Li 6.94 Li.upf
Be 9.01 Be.upf
CELL_PARAMETERS angstrom
3.826 0.000 0.000
0.000 4.390 0.000
0.000 0.000 3.826
ATOMIC_POSITIONS angstrom
Os 1.913 2.195 1.913
Re 0.000 2.195 0.000
Li 0.000 0.000 1.913
Li 1.913 0.000 0.000
Be 0.000 0.000 0.000
```

=====

The following is a GGA-PBE calculation of La2SnPt after structural relaxation, from Alexandria via LeMat-Bulk. Values from VASP.

As for the formation enthalpy at 0 K: -80 kJ per mole of atoms. The density of states at the Fermi level is 1.051 states/eV per atom.

Cell and atoms, written as Quantum ESPRESSO input:
```
&SYSTEM
  ibrav = 0, nat = 4, ntyp = 3
/
ATOMIC_SPECIES
La 138.91 La.upf
Pt 195.08 Pt.upf
Sn 118.71 Sn.upf
CELL_PARAMETERS angstrom
4.175 0.000 0.000
2.088 3.616 0.000
2.088 1.205 8.218
ATOMIC_POSITIONS angstrom
La 6.263 3.616 6.470
Pt 0.000 0.000 0.000
La 2.088 1.205 1.747
Sn 4.175 2.411 4.109
```

=====

The following is a GGA-PBE calculation of YMn3Pb after structural relaxation, from Alexandria via LeMat-Bulk. Values from VASP.

As for the formation enthalpy at 0 K: 136 kJ per mole of atoms. For the excess energy over the best structure of this formula in the dataset, the calculation gives 0.415 eV/atom. The density of states at the Fermi level is 0.830 states/eV per atom.

Cell and atoms, written as Quantum ESPRESSO input:
```
&SYSTEM
  ibrav = 0, nat = 5, ntyp = 3
/
ATOMIC_SPECIES
Mn 54.94 Mn.upf
Y 88.91 Y.upf
Pb 207.20 Pb.upf
CELL_PARAMETERS angstrom
5.063 0.000 0.000
0.000 5.063 0.000
0.000 0.000 5.063
ATOMIC_POSITIONS angstrom
Mn 2.531 0.000 0.000
Mn 0.000 2.531 0.000
Mn 0.000 0.000 2.531
Y 0.000 0.000 0.000
Pb 2.531 2.531 2.531
```